# 1
Entry from Alexandria: a relaxed structure of Sr2TlSi (GGA-PBE).

Results
DOS(E_F) = 0.892 states/eV/atom
total energy = -2.88 eV per atom
formation energy (no corrections) = -0.36 eV/f.u.

Lattice parameters (Å, degrees): 4.779 4.779 10.901 90.00 90.00 90.00
Space group I-4m2 (No. 119)
Asymmetric unit:
Sr1 0.000 0.000 0.000
Sr2 0.000 0.500 0.250
Tl1 0.000 0.500 0.750
Si1 0.000 0.000 0.500

=====

# 2
Entry from Alexandria: a relaxed structure of SrTlSi4 (GGA-PBE).

Results
DOS(E_F) = 0.386 states/eV/atom
total energy = -4.17 eV per atom
formation energy (no corrections) = 0.71 eV/f.u.

Lattice parameters (Å, degrees): 7.944 7.944 7.944 90.00 90.00 90.00
Space group F-43m (No. 216)
Asymmetric unit:
Sr1 0.000 0.000 0.000
Tl1 0.250 0.250 0.750
Si1 0.135 0.135 0.365

=====

# 3
Entry from Alexandria: a relaxed structure of SrTl2Si (GGA-PBE).

Results
DOS(E_F) = 0.696 states/eV/atom
E above lowest polymorph = 165.8 meV/atom
total energy = -2.88 eV per atom
formation energy (no corrections) = 0.32 eV/f.u.

Lattice parameters (Å, degrees): 6.460 11.829 3.734 90.00 124.04 90.00
Space group C2/m (No. 12)
Asymmetric unit:
Sr1 0.000 0.000 0.000
Tl1 0.250 0.250 0.500
Si1 0.000 0.500 0.000

=====

# 4
Entry from Alexandria: a relaxed structure of SrTl2Si (GGA-PBE).

Results
DOS(E_F) = 0.466 states/eV/atom
E above lowest polymorph = 112.7 meV/atom
total energy = -2.93 eV per atom
formation energy (no corrections) = 0.11 eV/f.u.

Lattice parameters (Å, degrees): 7.673 7.673 7.673 90.00 90.00 90.00
Space group Fm-3m (No. 225)
Asymmetric unit:
Sr1 0.000 0.000 0.000
Tl1 0.250 0.250 0.250
Si1 0.000 0.000 0.500

=====

# 5
Entry from Alexandria: a relaxed structure of SrTl2Si (GGA-PBE).

Results
DOS(E_F) = 0.587 states/eV/atom
E above lowest polymorph = 27.6 meV/atom
total energy = -3.02 eV per atom
formation energy (no corrections) = -0.23 eV/f.u.

Lattice parameters (Å, degrees): 12.339 3.838 5.370 90.00 115.68 90.00
Space group C2/m (No. 12)
Asymmetric unit:
Sr1 0.000 0.000 0.000
Tl1 0.210 0.000 0.709
Si1 0.000 0.500 0.500

=====

# 6
Entry from Alexandria: a relaxed structure of SrTl3Si (GGA-PBE).

Results
DOS(E_F) = 0.485 states/eV/atom
E above lowest polymorph = 0.0 meV/atom
total energy = -2.71 eV per atom
formation energy (no corrections) = 0.64 eV/f.u.

Lattice parameters (Å, degrees): 5.479 5.479 5.479 90.00 90.00 90.00
Space group Pm-3m (No. 221)
Asymmetric unit:
Sr1 0.000 0.000 0.000
Tl1 0.000 0.500 0.500
Si1 0.500 0.500 0.500

=====

# 7
Entry from Alexandria: a relaxed structure of SrTl2Si (GGA-PBE).

Results
DOS(E_F) = 0.149 states/eV/atom
E above lowest polymorph = 44.6 meV/atom
total energy = -3.00 eV per atom
formation energy (no corrections) = -0.17 eV/f.u.

Lattice parameters (Å, degrees): 4.7024 4.7024 18.3791 90.00 90.00 120.00
Space group R-3m (No. 166, hexagonal axes)
Asymmetric unit:
Sr1 0.0000 0.0000 0.0000
Tl1 0.0000 0.0000 0.2272
Si1 0.0000 0.0000 0.5000

=====

# 8
Entry from Alexandria: a relaxed structure of SrTl2Si (GGA-PBE).

Results
DOS(E_F) = 0.373 states/eV/atom
E above lowest polymorph = 10.9 meV/atom
total energy = -3.03 eV per atom
formation energy (no corrections) = -0.30 eV/f.u.

Lattice parameters (Å, degrees): 6.398 8.277 4.629 90.00 90.00 90.00
Space group Cmmm (No. 65)
Asymmetric unit:
Sr1 0.000 0.000 0.000
Tl1 0.000 0.302 0.500
Si1 0.000 0.500 0.000

=====

# 9
Entry from Alexandria: a relaxed structure of Sr2TlSi (GGA-PBE).

Results
DOS(E_F) = 0.503 states/eV/atom
total energy = -2.91 eV per atom
formation energy (no corrections) = -0.50 eV/f.u.

Lattice parameters (Å, degrees): 9.323 3.856 7.854 90.00 100.51 90.00
Space group C2/m (No. 12)
Asymmetric unit:
Sr1 0.237 0.000 0.216
Tl1 0.000 0.000 0.500
Si1 0.000 0.500 0.000

=====

# 10
Entry from Alexandria: a relaxed structure of Sr2TlSi (GGA-PBE).

Results
DOS(E_F) = 0.693 states/eV/atom
total energy = -3.05 eV per atom
formation energy (no corrections) = -1.03 eV/f.u.

Lattice parameters (Å, degrees): 7.593 7.603 4.265 90.00 90.00 90.00
Space group Cmmm (No. 65)
Asymmetric unit:
Sr1 0.250 0.250 0.000
Tl1 0.000 0.000 0.500
Si1 0.000 0.500 0.500

=====

# 11
Entry from Alexandria: a relaxed structure of Sr2TlSi (GGA-PBE).

Results
DOS(E_F) = 0.562 states/eV/atom
total energy = -2.89 eV per atom
formation energy (no corrections) = -0.40 eV/f.u.

Lattice parameters (Å, degrees): 4.0228 4.0228 29.2647 90.00 90.00 120.00
Space group R-3m (No. 166, hexagonal axes)
Asymmetric unit:
Sr1 0.0000 0.0000 0.2400
Tl1 0.0000 0.0000 0.0000
Si1 0.0000 0.0000 0.5000

=====

# 12
Entry from Alexandria: a relaxed structure of SrTl2Si (GGA-PBE).

Results
DOS(E_F) = 0.417 states/eV/atom
E above lowest polymorph = 69.0 meV/atom
total energy = -2.98 eV per atom
formation energy (no corrections) = -0.07 eV/f.u.

Lattice parameters (Å, degrees): 4.698 4.698 10.117 90.00 90.00 90.00
Space group I4/mmm (No. 139)
Asymmetric unit:
Sr1 0.000 0.000 0.000
Tl1 0.000 0.500 0.250
Si1 0.000 0.000 0.500

=====

# 13
Entry from Alexandria: a relaxed structure of SrTl2Si (GGA-PBE).

Results
DOS(E_F) = 0.745 states/eV/atom
E above lowest polymorph = 167.6 meV/atom
total energy = -2.88 eV per atom
formation energy (no corrections) = 0.33 eV/f.u.

Lattice parameters (Å, degrees): 4.688 4.688 22.174 90.00 90.00 90.00
Space group I-42d (No. 122)
Asymmetric unit:
Sr1 0.000 0.000 0.000
Tl1 0.218 0.250 0.625
Si1 0.000 0.000 0.500

=====

# 14
Entry from Alexandria: a relaxed structure of Sr2TlSi (GGA-PBE).

Results
DOS(E_F) = 1.044 states/eV/atom
total energy = -2.79 eV per atom
formation energy (no corrections) = 0.00 eV/f.u.

Lattice parameters (Å, degrees): 3.827 5.488 6.603 90.00 90.00 90.00
Space group Pmm2 (No. 25)
Asymmetric unit:
Sr1 0.000 0.000 0.000
Sr2 0.500 0.500 0.496
Tl1 0.000 0.000 0.501
Si1 0.500 0.500 0.996

=====

# 15
Entry from Alexandria: a relaxed structure of Sr2TlSi2 (GGA-PBE).

Results
DOS(E_F) = 1.394 states/eV/atom
total energy = -3.33 eV per atom
formation energy (no corrections) = -0.10 eV/f.u.

Lattice parameters (Å, degrees): 5.276 5.276 11.733 90.00 90.00 90.00
Space group I4/mmm (No. 139)
Asymmetric unit:
Sr1 0.000 0.500 0.250
Tl1 0.000 0.000 0.000
Si1 0.000 0.000 0.404

=====

# 16
Entry from Alexandria: a relaxed structure of Sr2TlSi2 (GGA-PBE).

Results
DOS(E_F) = 0.509 states/eV/atom
total energy = -3.71 eV per atom
formation energy (no corrections) = -1.99 eV/f.u.

Lattice parameters (Å, degrees): 3.921 15.695 4.604 90.00 90.00 90.00
Space group Cmmm (No. 65)
Asymmetric unit:
Sr1 0.000 0.134 0.000
Tl1 0.000 0.500 0.500
Si1 0.000 0.294 0.500

=====

# 17
Entry from Alexandria: a relaxed structure of SrTl2Si (GGA-PBE).

Results
DOS(E_F) = 0.496 states/eV/atom
E above lowest polymorph = 0.0 meV/atom
total energy = -3.05 eV per atom
formation energy (no corrections) = -0.34 eV/f.u.

Lattice parameters (Å, degrees): 4.518 4.518 5.804 90.00 90.00 90.00
Space group P4mm (No. 99)
Asymmetric unit:
Sr1 0.000 0.000 0.000
Tl1 0.000 0.500 0.490
Si1 0.500 0.500 0.834

=====

# 18
Entry from Alexandria: a relaxed structure of SrTl3Si (GGA-PBE).

Results
DOS(E_F) = 0.589 states/eV/atom
E above lowest polymorph = 875.6 meV/atom
total energy = -1.84 eV per atom
formation energy (no corrections) = 5.02 eV/f.u.

Lattice parameters (Å, degrees): 6.092 6.092 6.092 90.00 90.00 90.00
Space group Pm-3m (No. 221)
Asymmetric unit:
Sr1 0.000 0.000 0.000
Tl1 0.000 0.000 0.500
Si1 0.500 0.500 0.500

=====

# 19
Entry from Alexandria: a relaxed structure of SrTl2Si (GGA-PBE).

Results
DOS(E_F) = 0.515 states/eV/atom
E above lowest polymorph = 35.9 meV/atom
total energy = -3.01 eV per atom
formation energy (no corrections) = -0.20 eV/f.u.

Lattice parameters (Å, degrees): 9.950 4.415 6.301 90.00 119.17 90.00
Space group Cm (No. 8)
Asymmetric unit:
Sr1 0.000 0.000 0.000
Tl1 0.093 0.500 0.641
Tl2 0.303 0.500 0.318
Si1 0.277 0.000 0.600

=====

# 20
Entry from Alexandria: a relaxed structure of SrTl2Si (GGA-PBE).

Results
DOS(E_F) = 0.398 states/eV/atom
E above lowest polymorph = 89.1 meV/atom
total energy = -2.96 eV per atom
formation energy (no corrections) = 0.01 eV/f.u.

Lattice parameters (Å, degrees): 4.999 4.999 9.061 90.00 90.00 90.00
Space group I-4m2 (No. 119)
Asymmetric unit:
Sr1 0.000 0.000 0.000
Tl1 0.000 0.000 0.500
Tl2 0.000 0.500 0.750
Si1 0.000 0.500 0.250